DFT (PBE with a Hubbard U) results for an optimized crystal structure of SrMnO2.

Cell and atoms, written as CIF:
```
data_SrMnO2
_space_group_name_H-M_alt 'R 3 m'
_space_group_IT_number 160
_space_group_name_Hall 'R 3 -2"'
_cell_length_a 3.3671
_cell_length_b 3.3671
_cell_length_c 17.7195
_cell_angle_alpha 90.00
_cell_angle_beta 90.00
_cell_angle_gamma 120.00
loop_
_atom_site_label
_atom_site_type_symbol
_atom_site_fract_x
_atom_site_fract_y
_atom_site_fract_z
Sr1 Sr 0.0000 0.0000 0.0000
Mn1 Mn 0.0000 0.0000 0.1702
O1 O 0.0000 0.0000 0.4243
O2 O 0.0000 0.0000 0.5790
```

Summary:
Size of the total moment in μB per formula unit: 5.000
Raw total energy in eV/cell: -80.23